Run 1
Below is In3HgIr after structural relaxation, with properties calculated at the PBE level.

CIF file:
```
data_In3HgIr
_space_group_name_H-M_alt 'R 3 m'
_space_group_IT_number 160
_space_group_name_Hall 'R 3 -2"'
_cell_length_a 6.3516
_cell_length_b 6.3516
_cell_length_c 10.3582
_cell_angle_alpha 90.00
_cell_angle_beta 90.00
_cell_angle_gamma 120.00
loop_
_atom_site_label
_atom_site_fract_x
_atom_site_fract_y
_atom_site_fract_z
In1 0.1687 0.3373 0.0000
Hg1 0.0000 0.0000 0.5577
Ir1 0.0000 0.0000 0.8163
```

***

Run 2
Below is In3HgIr after structural relaxation, with properties calculated at the PBE level.

CIF file:
```
data_In3HgIr
_space_group_name_H-M_alt 'P 1 21/c 1'
_space_group_IT_number 14
_space_group_name_Hall '-P 2ybc'
_cell_length_a 9.5981
_cell_length_b 5.3534
_cell_length_c 10.6439
_cell_angle_alpha 90.00
_cell_angle_beta 123.35
_cell_angle_gamma 90.00
loop_
_atom_site_label
_atom_site_fract_x
_atom_site_fract_y
_atom_site_fract_z
In1 0.0093 0.0508 0.3347
In2 0.3511 0.6755 0.1563
In3 0.3754 0.2118 0.9555
Hg1 0.1645 0.1368 0.1140
Ir1 0.2812 0.7099 0.8706
```

***

Most stable one: run 2, least stable one: run 1.

***

Run 1
Below is In3HgIr after structural relaxation, with properties calculated at the PBE level.

CIF file:
```
data_In3HgIr
_space_group_name_H-M_alt 'P 63/m m c'
_space_group_IT_number 194
_space_group_name_Hall '-P 6c 2c'
_cell_length_a 4.5460
_cell_length_b 4.5460
_cell_length_c 16.0913
_cell_angle_alpha 90.00
_cell_angle_beta 90.00
_cell_angle_gamma 120.00
loop_
_atom_site_label
_atom_site_fract_x
_atom_site_fract_y
_atom_site_fract_z
In1 0.0000 0.0000 0.2500
In2 0.3333 0.6667 0.0877
Hg1 0.0000 0.0000 0.0000
Ir1 0.3333 0.6667 0.2500
```

***

Run 2
Below is In3HgIr after structural relaxation, with properties calculated at the PBE level.

CIF file:
```
data_In3HgIr
_space_group_name_H-M_alt 'P 1'
_space_group_IT_number 1
_space_group_name_Hall 'P 1'
_cell_length_a 6.5397
_cell_length_b 7.0571
_cell_length_c 7.1396
_cell_angle_alpha 85.17
_cell_angle_beta 63.26
_cell_angle_gamma 63.39
loop_
_atom_site_label
_atom_site_fract_x
_atom_site_fract_y
_atom_site_fract_z
In1 0.0000 0.0000 0.0000
In2 0.0029 0.5068 0.4912
In3 0.2795 0.4909 0.9911
In4 0.5013 0.5081 0.4925
In5 0.7331 0.5055 0.9896
In6 0.9950 0.0092 0.5012
Hg1 0.4951 0.0088 0.5008
Hg2 0.5003 0.9989 0.9983
Ir1 0.0145 0.7191 0.7683
Ir2 0.9886 0.2871 0.2217
```

***

Most stable one: run 2, least stable one: run 1.

***

Run 1
Below is In3HgIr after structural relaxation, with properties calculated at the PBE level.

CIF file:
```
data_In3HgIr
_space_group_name_H-M_alt 'A m m 2'
_space_group_IT_number 38
_space_group_name_Hall 'A 2 -2'
_cell_length_a 3.1227
_cell_length_b 6.5826
_cell_length_c 12.8139
_cell_angle_alpha 90.00
_cell_angle_beta 90.00
_cell_angle_gamma 90.00
loop_
_atom_site_label
_atom_site_fract_x
_atom_site_fract_y
_atom_site_fract_z
In1 0.0000 0.0000 0.0000
In2 0.5000 0.2422 0.8211
Hg1 0.0000 0.0000 0.5718
Ir1 0.5000 0.0000 0.1690
```

***

Run 2
Below is In3HgIr after structural relaxation, with properties calculated at the PBE level.

CIF file:
```
data_In3HgIr
_space_group_name_H-M_alt 'C 1 2/c 1'
_space_group_IT_number 15
_space_group_name_Hall '-C 2yc'
_cell_length_a 12.6661
_cell_length_b 12.7435
_cell_length_c 6.0647
_cell_angle_alpha 90.00
_cell_angle_beta 104.12
_cell_angle_gamma 90.00
loop_
_atom_site_label
_atom_site_fract_x
_atom_site_fract_y
_atom_site_fract_z
In1 0.1237 0.1150 0.0621
In2 0.1312 0.3883 0.0666
In3 0.1374 0.3791 0.5705
Hg1 0.1438 0.1180 0.5736
Ir1 0.0000 0.2552 0.2500
Ir2 0.0000 0.2554 0.7500
```

***

Most stable one: run 2, least stable one: run 1.

***

Run 1
Below is InHgIr after structural relaxation, with properties calculated at the PBE level.

CIF file:
```
data_InHgIr
_space_group_name_H-M_alt 'P 3 m 1'
_space_group_IT_number 156
_space_group_name_Hall 'P 3 -2"'
_cell_length_a 4.6076
_cell_length_b 4.6076
_cell_length_c 3.1930
_cell_angle_alpha 90.00
_cell_angle_beta 90.00
_cell_angle_gamma 120.00
loop_
_atom_site_label
_atom_site_fract_x
_atom_site_fract_y
_atom_site_fract_z
In1 0.0000 0.0000 0.0000
Hg1 0.6667 0.3333 0.5456
Ir1 0.3333 0.6667 0.1081
```

***

Run 2
Below is InHgIr after structural relaxation, with properties calculated at the PBE level.

CIF file:
```
data_InHgIr
_space_group_name_H-M_alt 'I 4 m m'
_space_group_IT_number 107
_space_group_name_Hall 'I 4 -2'
_cell_length_a 3.1095
_cell_length_b 3.1095
_cell_length_c 12.2637
_cell_angle_alpha 90.00
_cell_angle_beta 90.00
_cell_angle_gamma 90.00
loop_
_atom_site_label
_atom_site_fract_x
_atom_site_fract_y
_atom_site_fract_z
In1 0.0000 0.0000 0.0000
Hg1 0.0000 0.0000 0.7044
Ir1 0.0000 0.0000 0.3640
```

***

Most stable one: run 2, least stable one: run 1.